[1]
An optimized crystal structure of LiCdHgGe. Source: Alexandria, functional GGA-PBE.

POSCAR file:
```
LiCdHgGe
1.0
4.864 0.000 0.000
2.432 4.212 0.000
2.432 1.404 3.971
Ge Li Hg Cd
1 1 1 1
Direct
0.250 0.250 0.250
0.000 0.000 0.000
0.750 0.750 0.750
0.500 0.500 0.500
```

Output
N(E_F) = 2.42 states/eV/f.u.
DFT total energy = -7.9 eV/cell
Crystal system = cubic



[2]
An optimized crystal structure of LuCdHgGe. Source: Alexandria, functional GGA-PBE.

POSCAR file:
```
LuCdHgGe
1.0
-3.065 -3.902 0.720
1.767 -4.677 -0.370
0.473 -2.834 4.109
Ge Lu Hg Cd
1 1 1 1
Direct
0.250 0.250 0.250
0.000 0.000 0.000
0.750 0.750 0.750
0.500 0.500 0.500
```

Output
N(E_F) = 3.78 states/eV/f.u.
DFT total energy = -11.2 eV/cell
Crystal system = cubic



[3]
An optimized crystal structure of CdHgGeMo. Source: Alexandria, functional GGA-PBE.

POSCAR file:
```
CdHgGeMo
1.0
-0.304 -2.811 1.843
1.620 -1.744 -2.393
6.003 1.364 3.070
Cd Hg Ge Mo
1 1 1 1
Direct
0.500 0.500 0.071
0.000 0.000 0.792
0.500 0.500 0.487
0.000 0.000 0.353
```

Output
N(E_F) = 2.10 states/eV/f.u.
DFT total energy = -15.7 eV/cell
Crystal system = tetragonal
Energy above the most stable polymorph in this dataset = 0.051 eV/atom



[4]
An optimized crystal structure of CdHgGeMo. Source: Alexandria, functional GGA-PBE.

POSCAR file:
```
CdHgGeMo
1.0
-1.599 2.124 -1.080
-2.815 -0.870 0.516
-0.580 5.530 7.961
Cd Hg Ge Mo
1 1 1 1
Direct
0.320 0.178 0.921
0.677 0.178 0.202
0.538 0.177 0.490
0.942 0.679 0.684
```

Output
N(E_F) = 1.73 states/eV/f.u.
DFT total energy = -15.8 eV/cell
Crystal system = triclinic
Energy above the most stable polymorph in this dataset = 0.030 eV/atom



[5]
An optimized crystal structure of CdHgGeMo. Source: Alexandria, functional GGA-PBE.

POSCAR file:
```
CdHgGeMo
1.0
-2.802 0.191 0.421
-0.440 -4.128 -1.057
1.787 -3.665 13.571
Cd Hg Ge Mo
2 2 2 2
Direct
0.000 0.000 0.969
0.500 0.500 0.469
0.000 0.000 0.603
0.500 0.500 0.103
0.000 0.500 0.789
0.500 0.000 0.289
0.000 0.500 0.287
0.500 0.000 0.787
```

Output
N(E_F) = 2.52 states/eV/f.u.
DFT total energy = -31.8 eV/cell
Crystal system = orthorhombic
Energy above the most stable polymorph in this dataset = 0.000 eV/atom



[6]
An optimized crystal structure of CdHgGeMo. Source: Alexandria, functional GGA-PBE.

POSCAR file:
```
CdHgGeMo
1.0
3.159 0.000 0.000
0.000 2.850 0.000
0.000 0.000 17.541
Cd Hg Ge Mo
2 2 2 2
Direct
0.000 0.500 0.480
0.500 0.000 0.980
0.000 0.500 0.110
0.500 0.000 0.610
0.000 0.500 0.327
0.500 0.000 0.827
0.000 0.500 0.731
0.500 0.000 0.231
```

Output
N(E_F) = 2.55 states/eV/f.u.
DFT total energy = -31.1 eV/cell
Crystal system = orthorhombic
Energy above the most stable polymorph in this dataset = 0.088 eV/atom



[7]
An optimized crystal structure of CdHgGeMo. Source: Alexandria, functional GGA-PBE.

POSCAR file:
```
CdHgGeMo
1.0
-0.210 -2.985 0.511
2.947 0.591 -4.441
2.722 0.580 4.676
Cd Hg Ge Mo
1 1 1 1
Direct
0.696 0.374 0.137
0.926 0.841 0.010
0.463 0.910 0.559
0.182 0.354 0.591
```

Output
N(E_F) = 2.60 states/eV/f.u.
DFT total energy = -15.3 eV/cell
Crystal system = triclinic
Energy above the most stable polymorph in this dataset = 0.158 eV/atom



[8]
An optimized crystal structure of NaCdHgGe. Source: Alexandria, functional GGA-PBE.

POSCAR file:
```
NaCdHgGe
1.0
-3.631 3.452 -0.302
-2.115 1.037 -4.432
-4.731 -1.406 -0.913
Na Ge Hg Cd
1 1 1 1
Direct
0.250 0.250 0.250
0.500 0.500 0.500
0.000 0.000 0.000
0.750 0.750 0.750
```

Output
N(E_F) = 2.70 states/eV/f.u.
DFT total energy = -7.1 eV/cell
Crystal system = cubic



[9]
An optimized crystal structure of Na2CdHgGe. Source: Alexandria, functional GGA-PBE.

POSCAR file:
```
Na2CdHgGe
1.0
-5.501 1.419 -0.994
-1.214 -0.797 5.581
1.077 4.821 0.923
Na Ge Hg Cd
2 1 1 1
Direct
0.000 0.500 0.000
0.500 0.000 0.000
0.000 0.000 0.000
0.500 0.500 0.500
0.000 0.000 0.500
```

Output
N(E_F) = 1.64 states/eV/f.u.
DFT total energy = -8.4 eV/cell
Crystal system = tetragonal



[10]
An optimized crystal structure of NdCdHgGe. Source: Alexandria, functional GGA-PBE.

POSCAR file:
```
NdCdHgGe
1.0
5.154 0.000 0.000
2.577 4.464 0.000
2.577 1.488 4.208
Ge Nd Hg Cd
1 1 1 1
Direct
0.250 0.250 0.250
0.000 0.000 0.000
0.750 0.750 0.750
0.500 0.500 0.500
```

Output
N(E_F) = 3.39 states/eV/f.u.
DFT total energy = -11.8 eV/cell
Crystal system = cubic



[11]
An optimized crystal structure of Cd2NiHgGe. Source: Alexandria, functional GGA-PBE.

POSCAR file:
```
Cd2NiHgGe
1.0
5.289 0.000 0.000
0.000 4.469 0.000
0.000 0.000 5.289
Ni Ge Hg Cd
1 1 1 2
Direct
0.000 0.500 0.000
0.000 0.000 0.000
0.500 0.500 0.500
0.000 0.000 0.500
0.500 0.000 0.000
```

Output
N(E_F) = 0.94 states/eV/f.u.
DFT total energy = -10.8 eV/cell
Crystal system = tetragonal
Energy above the most stable polymorph in this dataset = 0.303 eV/atom



[12]
An optimized crystal structure of Cd2NiHgGe. Source: Alexandria, functional GGA-PBE.

POSCAR file:
```
Cd2NiHgGe
1.0
5.127 0.000 0.000
0.000 5.127 0.000
0.000 0.000 4.409
Ni Ge Hg Cd
1 1 1 2
Direct
0.000 0.000 0.000
0.000 0.000 0.500
0.500 0.500 0.500
0.000 0.500 0.000
0.500 0.000 0.000
```

Output
N(E_F) = 1.04 states/eV/f.u.
DFT total energy = -12.4 eV/cell
Crystal system = tetragonal
Energy above the most stable polymorph in this dataset = 0.000 eV/atom



[13]
An optimized crystal structure of Cd2Hg2GeO6. Source: Alexandria, functional GGA-PBE.

POSCAR file:
```
Cd2Hg2GeO6
1.0
5.768 -0.059 0.480
-2.903 4.985 0.480
-0.623 -1.071 5.844
Cd Hg Ge O
2 2 1 6
Direct
0.341 0.659 0.500
0.659 0.341 0.500
0.847 0.153 0.000
0.153 0.847 0.000
0.000 0.000 0.500
0.735 0.735 0.665
0.993 0.290 0.690
0.265 0.265 0.335
0.290 0.993 0.690
0.007 0.710 0.310
0.710 0.007 0.310
```

Output
DFT total energy = -47.0 eV/cell
Energy relative to the elements, uncorrected = -983 kJ/mol of formula units
Crystal system = monoclinic



[14]
An optimized crystal structure of CdHgGePb2. Source: Alexandria, functional GGA-PBE.

POSCAR file:
```
CdHgGePb2
1.0
5.819 0.000 0.000
0.000 5.158 0.000
0.000 0.000 5.819
Pb Ge Hg Cd
2 1 1 1
Direct
0.000 0.000 0.500
0.500 0.000 0.000
0.000 0.500 0.000
0.000 0.000 0.000
0.500 0.500 0.500
```

Output
N(E_F) = 0.70 states/eV/f.u.
DFT total energy = -10.4 eV/cell
Crystal system = tetragonal



[15]
An optimized crystal structure of CdHgGePd2. Source: Alexandria, functional GGA-PBE.

POSCAR file:
```
CdHgGePd2
1.0
5.082 0.000 0.000
0.000 5.131 0.000
0.000 0.000 5.082
Ge Hg Pd Cd
1 1 2 1
Direct
0.500 0.500 0.500
0.000 0.000 0.000
0.000 0.000 0.500
0.500 0.000 0.000
0.000 0.500 0.000
```

Output
N(E_F) = 2.43 states/eV/f.u.
DFT total energy = -12.2 eV/cell
Crystal system = tetragonal



[16]
An optimized crystal structure of PrCdHgGe. Source: Alexandria, functional GGA-PBE.

POSCAR file:
```
PrCdHgGe
1.0
-1.864 1.696 4.523
2.772 -0.601 4.332
2.135 4.119 2.299
Pr Ge Hg Cd
1 1 1 1
Direct
0.500 0.500 0.500
0.250 0.250 0.250
0.750 0.750 0.750
0.000 0.000 0.000
```

Output
N(E_F) = 3.37 states/eV/f.u.
DFT total energy = -11.8 eV/cell
Crystal system = cubic



[17]
An optimized crystal structure of PuCdHgGe. Source: Alexandria, functional GGA-PBE.

POSCAR file:
```
PuCdHgGe
1.0
5.069 0.000 0.000
2.535 4.390 0.000
2.535 1.463 4.139
Ge Cd Hg Pu
1 1 1 1
Direct
0.250 0.250 0.250
0.500 0.500 0.500
0.750 0.750 0.750
0.000 0.000 0.000
```

Output
N(E_F) = 11.71 states/eV/f.u.
DFT total energy = -20.8 eV/cell
Crystal system = cubic



[18]
An optimized crystal structure of RbCd2HgGe. Source: Alexandria, functional GGA-PBE.

POSCAR file:
```
RbCd2HgGe
1.0
-4.752 -2.678 4.081
3.713 -5.493 0.718
3.073 2.783 5.405
Ge Hg Rb Cd
1 1 1 2
Direct
0.500 0.500 0.500
0.000 0.500 0.000
0.000 0.000 0.000
0.000 0.000 0.500
0.500 0.000 0.000
```

Output
N(E_F) = 4.64 states/eV/f.u.
DFT total energy = -3.4 eV/cell
Crystal system = tetragonal



[19]
An optimized crystal structure of Rb2CdHgGe. Source: Alexandria, functional GGA-PBE.

POSCAR file:
```
Rb2CdHgGe
1.0
-2.183 6.568 0.264
-5.674 -1.743 -3.569
-2.444 -0.988 4.368
Ge Hg Rb Cd
1 1 2 1
Direct
0.000 0.000 0.000
0.500 0.500 0.500
0.000 0.500 0.000
0.500 0.000 0.000
0.000 0.000 0.500
```

Output
N(E_F) = 1.59 states/eV/f.u.
DFT total energy = -7.7 eV/cell
Crystal system = tetragonal



[20]
An optimized crystal structure of CdHgGe2S6. Source: Alexandria, functional GGA-PBE.

POSCAR file:
```
CdHgGe2S6
1.0
-1.166 -3.313 5.636
-6.592 -5.848 -1.761
5.481 -7.121 -0.012
Cd Hg Ge S
2 2 4 12
Direct
0.250 0.862 0.138
0.750 0.138 0.862
0.250 0.277 0.723
0.750 0.723 0.277
0.241 0.783 0.632
0.259 0.368 0.217
0.759 0.217 0.368
0.741 0.632 0.783
0.139 0.961 0.815
0.361 0.185 0.039
0.861 0.039 0.185
0.639 0.815 0.961
0.382 0.881 0.396
0.118 0.604 0.119
0.618 0.119 0.604
0.882 0.396 0.881
0.992 0.687 0.573
0.508 0.427 0.313
0.008 0.313 0.427
0.492 0.573 0.687
```

Output
DFT total energy = -76.3 eV/cell
Energy relative to the elements, uncorrected = -282 kJ/mol of formula units
Crystal system = monoclinic